1.
Entry from Alexandria: crystalline Y3CoPb at its relaxed geometry (GGA-PBE).

Structure (POSCAR):
```
Y3CoPb
1.0
13.225 0.000 0.114
5.441 6.923 -2.979
-5.441 6.923 2.979
Y Pb Co
12 4 4
Direct
0.382 0.412 0.427
0.393 0.673 0.708
0.118 0.927 0.912
0.893 0.792 0.827
0.964 0.310 0.424
0.036 0.690 0.576
0.607 0.327 0.292
0.882 0.073 0.088
0.536 0.924 0.810
0.107 0.208 0.173
0.618 0.588 0.573
0.464 0.076 0.190
0.532 0.215 0.959
0.032 0.541 0.285
0.468 0.785 0.041
0.968 0.459 0.715
0.250 0.518 0.018
0.750 0.195 0.695
0.250 0.805 0.305
0.750 0.482 0.982
```

Output
Energy above the lowest structure with this stoichiometry: 0.113 eV/atom
SG: No. 15
Magnetization: 0.00 μB per cell
Energy of formation from the pure elements: -113.9 kJ/mol of formula units
D(E_F): 2.84 states/eV/f.u.

2.
Entry from Alexandria: crystalline Y3CoPb at its relaxed geometry (GGA-PBE).

Structure (POSCAR):
```
Y3CoPb
1.0
-3.830 -6.289 6.188
-3.775 3.098 8.287
-9.522 -0.242 1.335
Pb Y Co
4 12 4
Direct
0.125 0.625 0.625
0.625 0.625 0.125
0.625 0.125 0.625
0.625 0.625 0.625
0.047 0.453 0.453
0.797 0.203 0.797
0.203 0.797 0.797
0.797 0.797 0.203
0.203 0.797 0.203
0.797 0.203 0.203
0.453 0.047 0.453
0.453 0.047 0.047
0.453 0.453 0.047
0.047 0.453 0.047
0.047 0.047 0.453
0.203 0.203 0.797
0.125 0.125 0.625
0.125 0.625 0.125
0.125 0.125 0.125
0.625 0.125 0.125
```

Output
Energy above the lowest structure with this stoichiometry: 0.266 eV/atom
SG: No. 227
Magnetization: 0.00 μB per cell
Energy of formation from the pure elements: -39.9 kJ/mol of formula units
D(E_F): 2.62 states/eV/f.u.

Which value of energy of formation from the pure elements does entry 1 give?
-113.9 kJ/mol of formula units